# La2Pm8Sm3, optimized geometry, DFT PBE-GGA
data_La2Pm8Sm3
_chemical_formula_sum 'La4 Pm16 Sm6'
_cell_length_a 13.313
_cell_length_b 11.929
_cell_length_c 6.248
_cell_angle_alpha 90.00
_cell_angle_beta 113.45
_cell_angle_gamma 90.00
_space_group_name_H-M_alt 'C 1 2/m 1'
_space_group_IT_number 12
_space_group_name_Hall '-C 2y'
loop_
_atom_site_label
_atom_site_fract_x
_atom_site_fract_y
_atom_site_fract_z
_atom_site_occupancy
La1 0.208 0.000 0.351 1
Pm1 0.060 0.000 0.780 1
Pm2 0.154 0.500 0.048 1
Pm3 0.171 0.245 0.675 1
Sm1 0.000 0.257 0.000 1
Sm2 0.000 0.500 0.500 1
# raw total energy: -120.0 eV for the cell shown
# energy of formation: 0.1554 eV/atom
# DOS at the Fermi energy: 42.63 states/eV/cell

***

# La2PmSm, optimized geometry, DFT PBE-GGA
data_La2PmSm
_chemical_formula_sum 'La8 Pm4 Sm4'
_cell_length_a 7.057
_cell_length_b 7.117
_cell_length_c 11.575
_cell_angle_alpha 90.00
_cell_angle_beta 90.13
_cell_angle_gamma 90.00
_space_group_name_H-M_alt 'P 1 2/c 1'
_space_group_IT_number 13
_space_group_name_Hall '-P 2yc'
loop_
_atom_site_label
_atom_site_fract_x
_atom_site_fract_y
_atom_site_fract_z
_atom_site_occupancy
La1 0.123 0.125 0.116 1
La2 0.376 0.376 0.884 1
Pm1 0.375 0.125 0.386 1
Sm1 0.125 0.374 0.614 1
# raw total energy: -74.3 eV for the cell shown
# energy of formation: 0.1868 eV/atom
# DOS at the Fermi energy: 29.84 states/eV/cell

***

# La2PmSm3, optimized geometry, DFT PBE-GGA
data_La2PmSm3
_chemical_formula_sum 'La8 Pm4 Sm12'
_cell_length_a 17.439
_cell_length_b 7.008
_cell_length_c 7.097
_cell_angle_alpha 90.00
_cell_angle_beta 101.70
_cell_angle_gamma 90.00
_space_group_name_H-M_alt 'C 1 2/c 1'
_space_group_IT_number 15
_space_group_name_Hall '-C 2yc'
loop_
_atom_site_label
_atom_site_fract_x
_atom_site_fract_y
_atom_site_fract_z
_atom_site_occupancy
La1 0.175 0.001 0.088 1
Pm1 0.000 0.236 0.750 1
Sm1 0.000 0.236 0.250 1
Sm2 0.140 0.499 0.570 1
# raw total energy: -112.0 eV for the cell shown
# energy of formation: 0.1274 eV/atom
# DOS at the Fermi energy: 33.70 states/eV/cell

***

# LaPm4Sm8, optimized geometry, DFT PBE-GGA
data_LaPm4Sm8
_chemical_formula_sum 'La3 Pm12 Sm24'
_cell_length_a 7.4847
_cell_length_b 7.4847
_cell_length_c 27.7272
_cell_angle_alpha 90.00
_cell_angle_beta 90.00
_cell_angle_gamma 120.00
_space_group_name_H-M_alt 'R -3 m'
_space_group_IT_number 166
_space_group_name_Hall '-R 3 2"'
loop_
_atom_site_label
_atom_site_fract_x
_atom_site_fract_y
_atom_site_fract_z
_atom_site_occupancy
La1 0.0000 0.0000 0.0000 1
Pm1 0.0000 0.0000 0.5000 1
Pm2 0.0000 0.5000 0.5000 1
Sm1 0.0000 0.0000 0.2810 1
Sm2 0.0360 0.5180 0.2690 1
# raw total energy: -178.9 eV for the cell shown
# energy of formation: 0.1587 eV/atom
# DOS at the Fermi energy: 45.92 states/eV/cell

***

# La8Pm2Sm, optimized geometry, DFT PBE-GGA
data_La8Pm2Sm
_chemical_formula_sum 'La16 Pm4 Sm2'
_cell_length_a 10.515
_cell_length_b 13.904
_cell_length_c 5.602
_cell_angle_alpha 90.00
_cell_angle_beta 90.15
_cell_angle_gamma 90.00
_space_group_name_H-M_alt 'C 1 2/m 1'
_space_group_IT_number 12
_space_group_name_Hall '-C 2y'
loop_
_atom_site_label
_atom_site_fract_x
_atom_site_fract_y
_atom_site_fract_z
_atom_site_occupancy
La1 0.000 0.245 0.000 1
La2 0.164 0.367 0.501 1
La3 0.168 0.000 0.000 1
Pm1 0.000 0.118 0.500 1
Sm1 0.000 0.500 0.000 1
# raw total energy: -104.4 eV for the cell shown
# energy of formation: 0.1315 eV/atom
# DOS at the Fermi energy: 37.79 states/eV/cell

***

# La2PmSm12, optimized geometry, DFT PBE-GGA
data_La2PmSm12
_chemical_formula_sum 'La8 Pm4 Sm48'
_cell_length_a 7.210
_cell_length_b 11.589
_cell_length_c 25.148
_cell_angle_alpha 90.00
_cell_angle_beta 90.00
_cell_angle_gamma 90.00
_space_group_name_H-M_alt 'C m m e'
_space_group_IT_number 67
_space_group_name_Hall '-C 2a 2'
loop_
_atom_site_label
_atom_site_fract_x
_atom_site_fract_y
_atom_site_fract_z
_atom_site_occupancy
La1 0.000 0.250 0.225 1
La2 0.000 0.250 0.768 1
Pm1 0.000 0.250 0.500 1
Sm1 0.000 0.001 0.577 1
Sm2 0.000 0.024 0.059 1
Sm3 0.230 0.250 0.919 1
Sm4 0.249 0.250 0.372 1
Sm5 0.250 0.000 0.172 1
Sm6 0.250 0.000 0.300 1
# raw total energy: -276.1 eV for the cell shown
# energy of formation: 0.1481 eV/atom
# DOS at the Fermi energy: 89.28 states/eV/cell

***

# La3Pm2Sm8, optimized geometry, DFT PBE-GGA
data_La3Pm2Sm8
_chemical_formula_sum 'La3 Pm2 Sm8'
_cell_length_a 6.340
_cell_length_b 6.349
_cell_length_c 11.585
_cell_angle_alpha 89.93
_cell_angle_beta 79.47
_cell_angle_gamma 80.32
_space_group_name_H-M_alt 'P -1'
_space_group_IT_number 2
_space_group_name_Hall '-P 1'
loop_
_atom_site_label
_atom_site_fract_x
_atom_site_fract_y
_atom_site_fract_z
_atom_site_occupancy
La1 0.000 0.000 0.000 1
La2 0.229 0.462 0.078 1
Pm1 0.385 0.769 0.462 1
Sm1 0.077 0.152 0.690 1
Sm2 0.154 0.307 0.386 1
Sm3 0.308 0.613 0.766 1
Sm4 0.462 0.924 0.157 1
# raw total energy: -61.8 eV for the cell shown
# energy of formation: 0.0208 eV/atom
# DOS at the Fermi energy: 23.16 states/eV/cell

***

# La3Pm7Sm2, optimized geometry, DFT PBE-GGA
data_La3Pm7Sm2
_chemical_formula_sum 'La3 Pm7 Sm2'
_cell_length_a 6.004
_cell_length_b 3.665
_cell_length_c 19.362
_cell_angle_alpha 90.00
_cell_angle_beta 93.08
_cell_angle_gamma 90.00
_space_group_name_H-M_alt 'P 1 2/m 1'
_space_group_IT_number 10
_space_group_name_Hall '-P 2y'
loop_
_atom_site_label
_atom_site_fract_x
_atom_site_fract_y
_atom_site_fract_z
_atom_site_occupancy
La1 0.000 0.000 0.000 1
La2 0.276 0.500 0.634 1
Pm1 0.191 0.500 0.145 1
Pm2 0.243 0.000 0.463 1
Pm3 0.306 0.000 0.824 1
Pm4 0.500 0.500 0.000 1
Sm1 0.215 0.000 0.294 1
# raw total energy: -56.5 eV for the cell shown
# energy of formation: 0.0771 eV/atom
# DOS at the Fermi energy: 17.38 states/eV/cell

***

# La4Pm7Sm, optimized geometry, DFT PBE-GGA
data_La4Pm7Sm
_chemical_formula_sum 'La8 Pm14 Sm2'
_cell_length_a 12.255
_cell_length_b 6.132
_cell_length_c 13.111
_cell_angle_alpha 90.00
_cell_angle_beta 117.36
_cell_angle_gamma 90.00
_space_group_name_H-M_alt 'C 1 2/m 1'
_space_group_IT_number 12
_space_group_name_Hall '-C 2y'
loop_
_atom_site_label
_atom_site_fract_x
_atom_site_fract_y
_atom_site_fract_z
_atom_site_occupancy
La1 0.057 0.000 0.330 1
La2 0.140 0.500 0.777 1
Pm1 0.000 0.000 0.000 1
Pm2 0.135 0.500 0.503 1
Pm3 0.211 0.000 0.923 1
Pm4 0.247 0.500 0.315 1
Sm1 0.000 0.500 0.000 1
# raw total energy: -110.0 eV for the cell shown
# energy of formation: 0.2218 eV/atom
# DOS at the Fermi energy: 41.69 states/eV/cell

***

# LaPm2Sm2, optimized geometry, DFT PBE-GGA
data_LaPm2Sm2
_chemical_formula_sum 'La2 Pm4 Sm4'
_cell_length_a 9.698
_cell_length_b 9.698
_cell_length_c 3.794
_cell_angle_alpha 90.00
_cell_angle_beta 90.00
_cell_angle_gamma 90.00
_space_group_name_H-M_alt 'P 4/m b m'
_space_group_IT_number 127
_space_group_name_Hall '-P 4 2ab'
loop_
_atom_site_label
_atom_site_fract_x
_atom_site_fract_y
_atom_site_fract_z
_atom_site_occupancy
La1 0.000 0.000 0.000 1
Pm1 0.172 0.328 0.500 1
Sm1 0.126 0.626 0.000 1
# raw total energy: -46.8 eV for the cell shown
# energy of formation: 0.0897 eV/atom
# DOS at the Fermi energy: 12.74 states/eV/cell

***

| no. | theoretical density (g/cm3) |
| --- | --- |
| 1 | 6.89 |
| 2 | 6.55 |
| 3 | 6.84 |
| 4 | 7.12 |
| 5 | 6.29 |
| 6 | 7.04 |
| 7 | 7.02 |
| 8 | 6.76 |
| 9 | 6.53 |
| 10 | 6.79 |